The following is a DFT calculation (GGA-PBE) of an optimized crystal structure of LaBiSe.

Crystal system ... tetragonal
Total magnetization ... 0.00 μB/f.u.
Raw formation energy ... -1.41 eV per atom

Cell lengths 4.382, 4.382, 9.871 Å; angles 102.82, 102.82, 90.00 degrees
Positions (direct):
Se 0.815 0.815 0.631
Se 0.185 0.185 0.369
La 0.346 0.346 0.693
Bi 0.500 0.000 0.000
La 0.654 0.654 0.307
Bi 0.000 0.500 0.000

***

The following is a DFT calculation (GGA-PBE) of an optimized crystal structure of MnNiP2.

Energy relative to the elements ... -0.142 eV/atom
Crystal system ... tetragonal
Total magnetization ... 0.00 μB/f.u.

Cell lengths 2.861, 2.863, 5.524 Å; angles 90.00, 90.00, 90.00 degrees
Positions (direct):
P 0.000 0.000 0.493
Mn 0.500 0.500 0.250
P 0.000 0.000 0.007
Ni 0.500 0.500 0.750

***

The following is a DFT calculation (GGA-PBE) of an optimized crystal structure of CsSc2Ru.

Energy relative to the elements ... 0.453 eV/atom
Crystal system ... tetragonal
Total magnetization ... 0.00 μB/f.u.
Energy above the most stable polymorph in this dataset ... 0.2923 eV per atom

Cell lengths 7.836, 7.836, 7.845 Å; angles 60.04, 60.04, 90.00 degrees
Positions (direct):
Cs 0.750 0.250 0.500
Sc 0.875 0.625 0.750
Sc 0.375 0.125 0.250
Ru 0.250 0.750 0.500
Cs 0.000 0.000 0.000
Sc 0.375 0.625 0.250
Ru 0.500 0.500 0.000
Sc 0.375 0.625 0.750

***

The following is a DFT calculation (GGA-PBE) of an optimized crystal structure of Ba2In5Pd4.

Energy relative to the elements ... -0.449 eV/atom
Crystal system ... monoclinic
Total magnetization ... 0.00 μB/f.u.
Energy above the most stable polymorph in this dataset ... 0.0623 eV per atom

Cell lengths 6.339, 7.575, 7.509 Å; angles 73.03, 65.03, 65.27 degrees
Positions (direct):
Pd 0.216 0.465 0.103
Pd 0.356 0.070 0.219
In 0.211 0.232 0.867
In 0.000 0.500 0.500
Ba 0.282 0.784 0.652
Ba 0.718 0.216 0.348
In 0.789 0.768 0.133
Pd 0.784 0.535 0.897
In 0.309 0.768 0.133
Pd 0.644 0.930 0.781
In 0.691 0.232 0.867

***

The following is a DFT calculation (GGA-PBE) of an optimized crystal structure of Sm4Os.

Energy relative to the elements ... 0.097 eV/atom
Crystal system ... cubic
Total magnetization ... 0.68 μB/f.u.

Cell lengths 5.547, 5.547, 5.547 Å; angles 90.00, 90.00, 90.00 degrees
Positions (direct):
Sm 0.000 0.500 0.500
Os 0.500 0.500 0.500
Sm 0.000 0.000 0.000
Sm 0.500 0.500 0.000
Sm 0.500 0.000 0.500

***

The following is a DFT calculation (GGA-PBE) of an optimized crystal structure of Tb9Pm2Er.

Energy relative to the elements ... 0.061 eV/atom
Crystal system ... hexagonal
Total magnetization ... 0.00 μB/f.u.
Energy above the most stable polymorph in this dataset ... 0.0414 eV per atom

Cell lengths 3.495, 11.289, 11.289 Å; angles 120.00, 90.00, 90.00 degrees
Positions (direct):
Tb 0.500 0.827 0.654
Tb 0.500 0.654 0.827
Tb 0.500 0.346 0.173
Tb 0.000 0.500 0.000
Pm 0.000 0.333 0.667
Tb 0.500 0.173 0.346
Er 0.000 0.000 0.000
Tb 0.000 0.000 0.500
Tb 0.500 0.827 0.173
Pm 0.000 0.667 0.333
Tb 0.500 0.173 0.827
Tb 0.000 0.500 0.500

***

The following is a DFT calculation (GGA-PBE) of an optimized crystal structure of K6Rb2PtO.

Crystal system ... monoclinic
Total magnetization ... 0.00 μB/f.u.
Raw formation energy ... -0.26 eV per atom

Cell lengths 8.312, 8.312, 8.546 Å; angles 111.53, 111.53, 91.88 degrees
Positions (direct):
K 0.256 0.820 0.059
K 0.806 0.806 0.954
K 0.160 0.161 0.454
Rb 0.672 0.292 0.579
Rb 0.292 0.672 0.579
K 0.243 0.244 0.003
K 0.696 0.696 0.322
K 0.819 0.256 0.059
Pt 0.487 0.488 0.877
O 0.068 0.069 0.110

***

The following is a DFT calculation (GGA-PBE) of an optimized crystal structure of KBaCa2Ir.

Energy relative to the elements ... -0.107 eV/atom
Crystal system ... tetragonal
Total magnetization ... 0.00 μB/f.u.

Cell lengths 5.760, 5.760, 6.210 Å; angles 90.00, 90.00, 90.00 degrees
Positions (direct):
K 0.500 0.500 0.500
Ir 0.000 0.000 0.000
Ba 0.000 0.000 0.500
Ca 0.500 0.000 0.000
Ca 0.000 0.500 0.000

***

The following is a DFT calculation (GGA-PBE) of an optimized crystal structure of LiYMnSi2.

Crystal system ... tetragonal
Total magnetization ... 0.11 μB/f.u.
Raw formation energy ... 1.37 eV per atom

Cell lengths 5.351, 4.781, 5.351 Å; angles 90.00, 90.00, 90.00 degrees
Positions (direct):
Li 0.500 0.500 0.500
Mn 0.000 0.500 0.000
Si 0.000 0.000 0.500
Y 0.000 0.000 0.000
Si 0.500 0.000 0.000

***

The following is a DFT calculation (GGA-PBE) of an optimized crystal structure of Sm3TlRu.

Energy relative to the elements ... -0.301 eV/atom
Crystal system ... orthorhombic
Total magnetization ... 0.00 μB/f.u.
Energy above the most stable polymorph in this dataset ... 0.0000 eV per atom

Cell lengths 6.005, 6.005, 8.861 Å; angles 102.21, 102.21, 112.08 degrees
Positions (direct):
Ru 0.250 0.250 0.000
Tl 0.714 0.214 0.500
Sm 0.079 0.196 0.275
Sm 0.301 0.801 0.101
Sm 0.921 0.804 0.725
Sm 0.699 0.199 0.899
Sm 0.304 0.421 0.725
Ru 0.750 0.750 0.000
Sm 0.696 0.579 0.275
Tl 0.286 0.786 0.500

***

The following is a DFT calculation (GGA-PBE) of an optimized crystal structure of Sc2CoCl.

Crystal system ... cubic
Total magnetization ... 0.00 μB/f.u.
Energy above the most stable polymorph in this dataset ... 0.5516 eV per atom
Raw formation energy ... -0.24 eV per atom

Cell lengths 4.614, 4.614, 4.614 Å; angles 60.00, 60.00, 60.00 degrees
Positions (direct):
Co 0.500 0.500 0.500
Cl 0.000 0.000 0.000
Sc 0.750 0.750 0.750
Sc 0.250 0.250 0.250

***

The following is a DFT calculation (GGA-PBE) of an optimized crystal structure of CuSnH12N2O6.

Crystal system ... triclinic
Raw total energy ... -5.15 eV per atom
Total magnetization ... 1.00 μB/f.u.

Cell lengths 4.919, 5.564, 6.910 Å; angles 108.22, 93.85, 93.03 degrees
Positions (direct):
H 0.385 0.999 0.763
H 0.285 0.325 0.402
H 0.190 0.474 0.632
H 0.424 0.293 0.061
H 0.758 0.355 0.885
O 0.250 0.333 0.124
Cu 0.000 0.000 0.500
O 0.299 0.824 0.125
O 0.200 0.905 0.723
H 0.556 0.709 0.387
Sn 0.000 0.000 0.000
H 0.576 0.707 0.939
H 0.615 0.001 0.237
N 0.257 0.306 0.544
H 0.715 0.675 0.598
O 0.701 0.176 0.875
H 0.444 0.291 0.613
O 0.750 0.667 0.876
N 0.743 0.694 0.456
H 0.242 0.645 0.115
H 0.810 0.526 0.368
O 0.800 0.095 0.277